No. 1
A plane-wave DFT calculation with PBE was carried out for a geometry-optimized CsSbSe2O8 structure.

Calculated values
Symmetry = C2/m, No. 12
Theoretical density = 3.672 g cm⁻³

Lattice parameters (Å, degrees): 5.4263 5.4263 9.1955 94.09 94.09 64.96
With the nearest neighbours (Å) after each atom.
Fractional coordinates of all 12 atoms:
Cs 0.0000 0.0000 0.0000  10 O 3.21-3.56
Sb 0.0000 0.0000 0.5000  6 O 2.24-2.30
Se 0.3730 0.3730 0.7006  4 O 1.65-1.70
Se 0.6270 0.6270 0.2994  4 O 1.65-1.70
O 0.2424 0.2424 0.5595  1 Se 1.69
O 0.2434 0.7151 0.6827  1 Se 1.70
O 0.2849 0.7566 0.3173  1 Se 1.70
O 0.3113 0.3113 0.8635  1 Se 1.65
O 0.6887 0.6887 0.1365  1 Se 1.65
O 0.7151 0.2434 0.6827  1 Se 1.70
O 0.7566 0.2849 0.3173  1 Se 1.70
O 0.7576 0.7576 0.4405  1 Se 1.69

---

No. 2
A plane-wave DFT calculation with PBE was carried out for a geometry-optimized CsSbSeO6 structure.

Calculated values
Symmetry = P312, No. 149
Theoretical density = 4.508 g cm⁻³

Lattice parameters (Å, degrees): 5.1501 5.1501 6.8888 90.00 90.00 120.00
With the nearest neighbours (Å) after each atom.
Fractional coordinates of all 9 atoms:
Cs 0.0000 0.0000 0.0000  6 O 3.08
Sb 0.6667 0.3333 0.5000  6 O 2.03
Se 0.3333 0.6667 0.5000  6 O 1.85
O 0.0259 0.3965 0.6576  1 Se 1.85, 1 Sb 2.03
O 0.0259 0.6293 0.3424  1 Se 1.85, 1 Sb 2.03
O 0.3707 0.3965 0.3424  1 Se 1.85, 1 Sb 2.03
O 0.3707 0.9741 0.6576  1 Se 1.85, 1 Sb 2.03
O 0.6035 0.6293 0.6576  1 Se 1.85, 1 Sb 2.03
O 0.6035 0.9741 0.3424  1 Se 1.85, 1 Sb 2.03

---

No. 3
A plane-wave DFT calculation with PBE was carried out for a geometry-optimized CsSiSbO5 structure.

Calculated values
Symmetry = Ama2, No. 40
Theoretical density = 4.547 g cm⁻³

Lattice parameters (Å, degrees): 19.9393 7.2901 7.2901 90.00 90.00 90.00
With the nearest neighbours (Å) after each atom.
Fractional coordinates of all 64 atoms:
Cs 0.0000 0.0000 0.0000  6 O 3.09-3.17
Cs 0.1143 0.4997 0.9998  5 O 2.90-3.21
Cs 0.2500 0.5061 0.5007  2 O 2.87
Cs 0.3857 0.4997 0.9998  5 O 2.90-3.21
Cs 0.5000 0.0000 0.0000  6 O 3.09-3.17
Cs 0.6143 0.9998 0.4997  5 O 2.90-3.21
Cs 0.7500 0.5007 0.5061  2 O 2.87
Cs 0.8857 0.9998 0.4997  5 O 2.90-3.21
Si 0.1693 0.0001 0.2248  4 O 1.63-1.65
Si 0.1693 0.0000 0.7749  4 O 1.63-1.65
Si 0.3307 0.0001 0.2248  4 O 1.63-1.65
Si 0.3307 0.0000 0.7749  4 O 1.63-1.65
Si 0.6693 0.2248 0.0001  4 O 1.63-1.65
Si 0.6693 0.7749 0.0000  4 O 1.63-1.65
Si 0.8307 0.2248 0.0001  4 O 1.63-1.65
Si 0.8307 0.7749 0.0000  4 O 1.63-1.65
Sb 0.0660 0.2517 0.4999  6 O 1.96-2.05
Sb 0.0658 0.7485 0.4999  6 O 1.96-2.05
Sb 0.4340 0.2517 0.4999  6 O 1.96-2.05
Sb 0.4342 0.7485 0.4999  6 O 1.96-2.05
Sb 0.5660 0.4999 0.2517  6 O 1.96-2.05
Sb 0.5658 0.4999 0.7485  6 O 1.96-2.05
Sb 0.9340 0.4999 0.2517  6 O 1.96-2.05
Sb 0.9342 0.4999 0.7485  6 O 1.96-2.05
O 0.0000 0.3003 0.3003  2 Sb 1.99
O 0.0002 0.3004 0.6999  2 Sb 1.99
O 0.9998 0.6999 0.3004  2 Sb 1.99
O 0.0000 0.6998 0.6998  2 Sb 1.99
O 0.0310 0.0002 0.5000  2 Sb 1.96
O 0.1059 0.5002 0.4998  2 Sb 1.98
O 0.1361 0.1889 0.3043  1 Si 1.63
O 0.1362 0.1889 0.6953  1 Si 1.63
O 0.1360 0.8113 0.3043  1 Si 1.63
O 0.1360 0.8113 0.6953  1 Si 1.63
O 0.1591 0.0002 0.9998  2 Si 1.65
O 0.2500 0.9993 0.2663  2 Si 1.64
O 0.2500 0.9992 0.7334  2 Si 1.64
O 0.3409 0.0002 0.9998  2 Si 1.65
O 0.3639 0.1889 0.3043  1 Si 1.63
O 0.3638 0.1889 0.6953  1 Si 1.63
O 0.3640 0.8113 0.3043  1 Si 1.63
O 0.3640 0.8113 0.6953  1 Si 1.63
O 0.3941 0.5002 0.4998  2 Sb 1.98
O 0.4690 0.0002 0.5000  2 Sb 1.96
O 0.5000 0.3003 0.3003  2 Sb 1.99
O 0.4998 0.3004 0.6999  2 Sb 1.99
O 0.5002 0.6999 0.3004  2 Sb 1.99
O 0.5000 0.6998 0.6998  2 Sb 1.99
O 0.5310 0.5000 0.0002  2 Sb 1.96
O 0.6059 0.4998 0.5002  2 Sb 1.98
O 0.6361 0.3043 0.1889  1 Si 1.63
O 0.6360 0.3043 0.8113  1 Si 1.63
O 0.6362 0.6953 0.1889  1 Si 1.63
O 0.6360 0.6953 0.8113  1 Si 1.63
O 0.6591 0.9998 0.0002  2 Si 1.65
O 0.7500 0.2663 0.9993  2 Si 1.64
O 0.7500 0.7334 0.9992  2 Si 1.64
O 0.8409 0.9998 0.0002  2 Si 1.65
O 0.8639 0.3043 0.1889  1 Si 1.63
O 0.8640 0.3043 0.8113  1 Si 1.63
O 0.8638 0.6953 0.1889  1 Si 1.63
O 0.8640 0.6953 0.8113  1 Si 1.63
O 0.8941 0.4998 0.5002  2 Sb 1.98
O 0.9690 0.5000 0.0002  2 Sb 1.96

---

No. 4
A plane-wave DFT calculation with PBE was carried out for a geometry-optimized Cs2Sm2SbO6 structure.

Calculated values
Symmetry = C2/m, No. 12
Theoretical density = 5.687 g cm⁻³

Lattice parameters (Å, degrees): 6.1097 6.1097 7.3212 97.57 97.57 119.74
With the nearest neighbours (Å) after each atom.
Fractional coordinates of all 11 atoms:
Cs 0.1656 0.8344 0.0000  6 O 3.09-3.27
Cs 0.8344 0.1656 0.0000  6 O 3.09-3.27
Sm 0.3345 0.6655 0.5000  6 O 2.37-2.39
Sm 0.6655 0.3345 0.5000  6 O 2.37-2.39
Sb 0.0000 0.0000 0.5000  6 O 2.19-2.22
O 0.0457 0.3625 0.6569  1 Sb 2.22, 2 Sm 2.37-2.39
O 0.2569 0.2569 0.3418  1 Sb 2.19, 2 Sm 2.39
O 0.3625 0.0457 0.6569  1 Sb 2.22, 2 Sm 2.37-2.39
O 0.6375 0.9543 0.3431  1 Sb 2.22, 2 Sm 2.37-2.39
O 0.7431 0.7431 0.6582  1 Sb 2.19, 2 Sm 2.39
O 0.9543 0.6375 0.3431  1 Sb 2.22, 2 Sm 2.37-2.39

---

| no. | final energy (eV per cell) | E_form (uncorrected) (meV per atom) |
| --- | --- | --- |
| 1 | -63.5 | -991 |
| 2 | -48.5 | -1140 |
| 3 | -415.2 | -2089 |
| 4 | -69.4 | -2213 |